# 1
! YSi2Cl (GGA-PBEsol, optimized geometry); values from VASP
! Formation energy from raw total energies, kJ per mole of atoms: 17
! E above lowest polymorph, eV/atom: 0.6131
&SYSTEM
  ibrav = 0, nat = 4, ntyp = 3
/
ATOMIC_SPECIES
Y 88.91 Y.upf
Si 28.09 Si.upf
Cl 35.45 Cl.upf
ATOMIC_POSITIONS angstrom
Y 0.0000 0.0000 0.0000
Si 1.7211 1.7211 1.7211
Si 5.1634 5.1634 5.1634
Cl 3.4422 3.4422 3.4422
CELL_PARAMETERS angstrom
0.0000 3.4422 3.4422
3.4422 0.0000 3.4422
3.4422 3.4422 0.0000

# 2
! Ru5W3 (GGA-PBEsol, optimized geometry); values from VASP
! E_form, eV per atom: 0.044
&SYSTEM
  ibrav = 0, nat = 8, ntyp = 2
/
ATOMIC_SPECIES
Ru 101.07 Ru.upf
W 183.84 W.upf
ATOMIC_POSITIONS angstrom
Ru 0.0000 0.0000 0.0000
Ru 1.9091 1.9448 0.0000
Ru 1.9117 0.0000 1.9174
Ru 1.9091 -1.9448 0.0000
Ru 5.7248 0.0000 1.9174
W 3.8183 2.0356 1.9174
W 3.8183 0.0000 0.0000
W 3.8183 -2.0356 1.9174
CELL_PARAMETERS angstrom
3.8183 -3.8895 0.0000
3.8183 3.8895 0.0000
0.0000 0.0000 3.8348

# 3
! Li2VO2F (GGA-PBEsol, optimized geometry); values from VASP
! Formation energy from raw total energies, kJ per mole of atoms: -237
! E above lowest polymorph, eV/atom: 0.0611
&SYSTEM
  ibrav = 0, nat = 24, ntyp = 4
/
ATOMIC_SPECIES
Li 6.94 Li.upf
V 50.94 V.upf
O 16.00 O.upf
F 19.00 F.upf
ATOMIC_POSITIONS angstrom
Li 0.0000 0.0000 0.0000
Li 0.0066 2.8141 7.3045
Li 0.8053 1.4551 5.2042
Li 0.8053 4.1731 5.2042
Li 2.3366 1.4785 7.2560
Li 2.3366 4.1497 7.2560
Li 3.0536 2.8141 5.2174
Li 3.2121 0.0000 5.1332
V 1.7117 2.8141 2.4764
V 1.7902 0.0000 2.5400
V 3.9098 1.1980 2.5085
V 3.9098 4.4302 2.5085
O 0.7591 1.3919 1.5324
O 0.7591 4.2363 1.5324
O 1.5324 2.8141 6.2462
O 2.4111 1.4151 3.7387
O 2.4111 4.2131 3.7387
O 3.1966 0.0000 1.1692
O 3.2934 2.8141 1.4407
O 4.8631 0.0000 3.6805
F 1.5470 0.0000 6.2174
F 4.0177 1.3741 6.1998
F 4.0177 4.2541 6.1998
F 4.8218 2.8141 3.6451
CELL_PARAMETERS angstrom
4.9036 0.0000 0.0000
0.0000 5.6282 0.0000
-0.0648 0.0000 7.3487